Entry 1:
RbZnIn2 | PBE-GGA | optimized geometry

Values from the calculation:
space-group type: P4/mmm (123)
energy of formation from the pure elements: 1 kJ/mol of atoms

```
RbZnIn2
1.0
3.660 0.000 0.000
0.000 3.660 0.000
0.000 0.000 8.793
In Rb Zn
2 1 1
direct
0.000 0.000 0.820
0.000 0.000 0.180
0.500 0.500 0.500
0.500 0.500 0.000
```

=====

Entry 2:
CaTe2As | PBE-GGA | optimized geometry

Values from the calculation:
space-group type: R3m (160)
energy relative to the elements, uncorrected: -42.8 kJ/mol of atoms

```
CaTe2As
1.0
-0.579 -4.526 -6.047
2.768 -6.104 -3.531
-1.475 -7.018 -2.439
As Te Ca
1 2 1
direct
0.512 0.512 0.512
0.004 0.004 0.004
0.233 0.233 0.233
0.752 0.752 0.752
```

=====

Entry 3:
Y10Tm4Pu | PBE-GGA | optimized geometry

Values from the calculation:
space-group type: I4/mmm (139)
energy of formation from the pure elements: 26 kJ/mol of atoms

```
Y10Tm4Pu
1.0
-4.657 5.812 1.474
-6.301 1.447 -6.061
-7.249 -2.035 4.673
Y Tm Pu
10 4 1
direct
0.283 0.790 0.210
0.507 0.210 0.210
0.072 0.210 0.210
0.717 0.790 0.210
0.493 0.790 0.790
0.717 0.210 0.790
0.750 0.500 0.500
0.283 0.210 0.790
0.928 0.790 0.790
0.250 0.500 0.500
0.766 0.000 0.468
0.234 0.000 0.532
0.234 0.532 0.000
0.766 0.468 0.000
0.000 0.000 0.000
```

=====

| no. | spin magnetization (μB/f.u.) |
| --- | --- |
| 1 | 0.00 |
| 2 | 0.00 |
| 3 | 7.56 |